1.
{"formula": "MgIrF3", "functional": "GGA-PBE", "state": "optimized geometry", "crystal_system": "cubic", "energy_ev_per_cell": -22.918, "e_form_raw_ev_per_atom": -1.370, "sg": "Pm-3m (221)", "magmom_total_mub_per_atom": 0.449, "cell": [[-1.587, -2.695, 2.479], [1.456, -2.944, -2.268], [3.360, 0.003, 2.154]], "species": ["Mg", "Ir", "F", "F", "F"], "fractional_positions": [[0.000, 0.000, 0.000], [0.500, 0.500, 0.500], [0.000, 0.500, 0.000], [0.000, 0.000, 0.500], [0.500, 0.000, 0.000]]}

2.
{"formula": "MgIrF3", "functional": "GGA-PBE", "state": "optimized geometry", "crystal_system": "cubic", "energy_ev_per_cell": -20.162, "e_form_raw_ev_per_atom": -0.818, "sg": "Pm-3m (221)", "magmom_total_mub_per_atom": 0.020, "cell": [[4.283, 0.000, 0.000], [0.000, 4.283, 0.000], [0.000, 0.000, 4.283]], "species": ["Mg", "Ir", "F", "F", "F"], "fractional_positions": [[0.500, 0.500, 0.500], [0.000, 0.000, 0.000], [0.000, 0.500, 0.000], [0.000, 0.000, 0.500], [0.500, 0.000, 0.000]]}